Here is a geometry-optimized HfBiOs3 structure from the Alexandria database. Energies are from PBE.

Structure (extended XYZ):
```
5
Lattice="4.855 0.000 0.000 0.000 4.855 0.000 0.000 0.000 4.855" Properties=species:S:1:pos:R:3 pbc="T T T"
Hf 0.000 0.000 0.000
Os 0.000 2.428 0.000
Os 0.000 0.000 2.428
Os 2.428 0.000 0.000
Bi 2.428 2.428 2.428
```

Calculated values
The value obtained for the volume is 114.5 Å³ per cell. Its crystal system is cubic. For the total magnetization, the calculation gives 0.000 μB per atom. The calculation puts the energy relative to the lowest polymorph listed for this composition at 0.0 meV per atom.

Here is a geometry-optimized Hf8Bi2Os structure from the Alexandria database. Energies are from PBE.

Structure (extended XYZ):
```
11
Lattice="4.813 0.000 0.000 0.000 5.876 -0.206 -2.406 -2.669 8.969" Properties=species:S:1:pos:R:3 pbc="T T T"
Hf 0.000 0.746 7.406
Hf 2.406 -0.435 2.581
Hf 2.406 2.394 4.679
Hf 2.406 -1.218 8.511
Hf 0.000 0.814 4.083
Hf 0.000 3.643 6.181
Hf 2.406 2.461 1.356
Hf 0.000 4.425 0.251
Bi 2.406 -0.423 5.659
Bi 0.000 3.631 3.104
Os 2.406 0.000 0.000
```

Calculated values
The value obtained for the volume is 251.0 Å³ per cell. Its crystal system is monoclinic. For the total magnetization, the calculation gives 0.000 μB per atom. Its uncorrected energy is -0.3304 Ha/atom.

Here is a geometry-optimized Hf8BiP2 structure from the Alexandria database. Energies are from PBE.

Structure (extended XYZ):
```
11
Lattice="5.136 0.770 0.584 1.154 8.193 2.627 1.154 4.736 7.183" Properties=species:S:1:pos:R:3 pbc="T T T"
Hf 3.452 7.167 7.226
Hf 3.992 4.811 5.438
Hf 2.944 10.185 7.728
Hf 4.500 3.514 2.666
Hf 3.452 8.889 4.956
Hf 3.992 6.533 3.169
Hf 6.003 8.486 6.439
Hf 1.441 5.213 3.956
Bi 0.000 0.000 0.000
P 5.541 10.448 7.927
P 1.903 3.252 2.467
```

Calculated values
The value obtained for the volume is 232.0 Å³ per cell. Its crystal system is monoclinic. For the total magnetization, the calculation gives 0.000 μB per atom. Its uncorrected energy is -0.3255 Ha/atom.

Here is a geometry-optimized Hf7Bi2P2 structure from the Alexandria database. Energies are from PBE.

Structure (extended XYZ):
```
11
Lattice="7.460 -0.153 -0.221 -0.866 6.357 -0.095 -0.866 -2.322 5.919" Properties=species:S:1:pos:R:3 pbc="T T T"
Hf 0.108 4.728 2.522
Hf 5.619 3.181 0.290
Hf 5.619 -0.845 3.080
Hf 0.108 0.701 5.312
Hf 0.000 0.000 0.000
Hf 5.158 2.260 3.261
Hf 0.569 1.622 2.341
Bi 2.864 0.334 3.915
Bi 2.864 3.548 1.687
P 5.573 0.822 1.186
P 0.154 3.060 4.416
```

Calculated values
The value obtained for the volume is 276.6 Å³ per cell. Its crystal system is monoclinic. For the total magnetization, the calculation gives 0.000 μB per atom. Its uncorrected energy is -0.3042 Ha/atom.

Here is a geometry-optimized Hf2BiP2 structure from the Alexandria database. Energies are from PBE.

Structure (extended XYZ):
```
5
Lattice="-1.498 0.972 -3.355 2.192 -2.580 -1.727 -4.620 -5.583 -1.707" Properties=species:S:1:pos:R:3 pbc="T T T"
P -2.886 -2.708 -3.801
P -1.040 -4.483 -2.987
Hf -0.826 -1.933 -2.344
Hf -3.099 -5.258 -4.445
Bi 0.000 0.000 0.000
```

Calculated values
The value obtained for the volume is 100.3 Å³ per cell. Its crystal system is tetragonal. For the total magnetization, the calculation gives 0.000 μB per atom. Its uncorrected energy is -0.2739 Ha/atom.

Here is a geometry-optimized Hf2Bi2P structure from the Alexandria database. Energies are from PBE.

Structure (extended XYZ):
```
10
Lattice="6.858 0.000 0.000 0.000 6.858 0.000 0.000 0.000 5.098" Properties=species:S:1:pos:R:3 pbc="T T T"
P 0.000 0.000 0.000
P 3.429 3.429 0.000
Hf 2.338 5.767 0.000
Hf 5.767 4.521 0.000
Hf 4.521 1.092 0.000
Hf 1.092 2.338 0.000
Bi 1.150 4.580 2.549
Bi 4.580 5.708 2.549
Bi 5.708 2.279 2.549
Bi 2.279 1.150 2.549
```

Calculated values
The value obtained for the volume is 239.8 Å³ per cell. Its crystal system is tetragonal. For the total magnetization, the calculation gives 0.000 μB per atom. Its uncorrected energy is -0.2506 Ha/atom.

Here is a geometry-optimized HfBiP3 structure from the Alexandria database. Energies are from PBE.

Structure (extended XYZ):
```
5
Lattice="-2.437 4.212 1.102 0.972 -0.705 4.843 4.244 2.580 -0.477" Properties=species:S:1:pos:R:3 pbc="T T T"
P 0.486 -0.352 2.421
P 2.122 1.290 -0.238
P -1.219 2.106 0.551
Hf 0.000 0.000 0.000
Bi 1.390 3.044 2.734
```

Calculated values
The value obtained for the volume is 124.2 Å³ per cell. Its crystal system is cubic. For the total magnetization, the calculation gives 0.000 μB per atom. The calculation puts the energy relative to the lowest polymorph listed for this composition at 0.0 meV per atom.

Here is a geometry-optimized Hf6Bi2P structure from the Alexandria database. Energies are from PBE.

Structure (extended XYZ):
```
18
Lattice="6.037 0.000 0.219 0.000 6.957 0.000 -0.473 0.000 9.601" Properties=species:S:1:pos:R:3 pbc="T T T"
Hf 5.138 6.832 2.565
Hf 4.810 4.644 5.218
Hf 4.733 5.005 9.491
Hf 3.614 1.526 5.241
Hf 3.536 1.165 9.514
Hf 3.682 3.353 2.565
Hf 0.427 0.125 7.256
Hf 0.754 2.313 4.603
Hf 0.832 1.952 0.330
Hf 1.950 5.431 4.580
Hf 2.028 5.792 0.307
Hf 1.882 3.604 7.256
Bi 5.090 2.787 7.525
Bi 3.256 6.265 7.207
Bi 2.308 0.692 2.614
Bi 0.474 4.170 2.296
P 3.019 3.478 0.110
P -0.237 0.000 4.801
```

Calculated values
The value obtained for the volume is 404.0 Å³ per cell. Its crystal system is monoclinic. For the total magnetization, the calculation gives 0.000 μB per atom. Its uncorrected energy is -0.3078 Ha/atom.

Here is a geometry-optimized HfBi2P structure from the Alexandria database. Energies are from PBE.

Structure (extended XYZ):
```
8
Lattice="6.592 0.000 0.000 0.000 6.592 0.000 3.296 3.296 6.518" Properties=species:S:1:pos:R:3 pbc="T T T"
P 3.296 3.296 0.000
P 3.296 6.592 3.259
Hf 0.000 0.000 0.000
Hf 6.592 3.296 3.259
Bi 4.845 1.648 1.629
Bi 1.746 4.944 1.629
Bi 4.944 5.042 4.888
Bi 8.240 8.141 4.888
```

Calculated values
The value obtained for the volume is 283.2 Å³ per cell. Its crystal system is tetragonal. For the total magnetization, the calculation gives 0.226 μB per atom. Its uncorrected energy is -0.1887 Ha/atom.

Here is a geometry-optimized HfBiP3 structure from the Alexandria database. Energies are from PBE.

Structure (extended XYZ):
```
5
Lattice="-0.013 0.682 -5.005 -4.632 -1.997 -0.260 -2.014 4.589 0.631" Properties=species:S:1:pos:R:3 pbc="T T T"
P -2.316 -0.998 -0.130
P -1.007 2.295 0.315
P -0.006 0.341 -2.502
Hf -3.329 1.637 -2.317
Bi 0.000 0.000 0.000
```

Calculated values
The value obtained for the volume is 128.9 Å³ per cell. Its crystal system is cubic. For the total magnetization, the calculation gives 0.000 μB per atom. The calculation puts the energy relative to the lowest polymorph listed for this composition at 1041.3 meV per atom.

Here is a geometry-optimized HfBiP2 structure from the Alexandria database. Energies are from PBE.

Structure (extended XYZ):
```
8
Lattice="6.308 0.000 0.000 0.000 6.308 0.000 3.154 3.154 5.786" Properties=species:S:1:pos:R:3 pbc="T T T"
P 4.466 1.577 1.446
P 1.843 4.731 1.446
P 4.731 4.997 4.339
P 7.885 7.620 4.339
Hf 3.154 3.154 0.000
Hf 3.154 6.308 2.893
Bi 0.000 0.000 0.000
Bi 6.308 3.154 2.893
```

Calculated values
The value obtained for the volume is 230.3 Å³ per cell. Its crystal system is tetragonal. For the total magnetization, the calculation gives 0.000 μB per atom. Its uncorrected energy is -0.2298 Ha/atom.

Here is a geometry-optimized Hf5BiP structure from the Alexandria database. Energies are from PBE.

Structure (extended XYZ):
```
14
Lattice="-1.754 -3.534 4.481 -2.168 -3.476 -4.343 8.588 -2.668 -0.421" Properties=species:S:1:pos:R:3 pbc="T T T"
Hf -2.518 -5.123 0.892
Hf 1.492 -3.541 -2.460
Hf 1.701 -6.446 -0.929
Hf 0.343 -4.194 3.299
Hf -1.341 -4.772 -2.335
Hf 6.007 -4.906 2.052
Hf 4.324 -5.484 -3.582
Hf 2.966 -3.231 0.647
Hf 3.175 -6.136 2.177
Hf 7.184 -4.554 -1.175
Bi 0.203 -4.174 0.327
Bi 4.463 -5.503 -0.609
P 0.000 0.000 0.000
P 4.294 -1.334 -0.210
```

Calculated values
The value obtained for the volume is 312.5 Å³ per cell. Its crystal system is monoclinic. For the total magnetization, the calculation gives 0.000 μB per atom. Its uncorrected energy is -0.3201 Ha/atom.

Here is a geometry-optimized HfBiP2Pd structure from the Alexandria database. Energies are from PBE.

Structure (extended XYZ):
```
5
Lattice="-1.116 -1.022 -4.884 -2.362 -4.738 1.531 -4.483 2.403 0.521" Properties=species:S:1:pos:R:3 pbc="T T T"
P -2.241 1.202 0.261
P -0.558 -0.511 -2.442
Hf -1.181 -2.369 0.766
Bi 0.000 0.000 0.000
Pd -3.981 -1.679 -1.416
```

Calculated values
The value obtained for the volume is 144.1 Å³ per cell. Its crystal system is tetragonal. For the total magnetization, the calculation gives 0.000 μB per atom. Its uncorrected energy is -0.1607 Ha/atom.